Density functional theory data (PBE) for a relaxed structure of LaCo3Cl.

The calculation puts the energy at -4.0525 eV/atom. The offset from the most stable computed form is 1150 meV/atom. The uncorrected formation energy is 1.57 eV/atom.

Cell and atoms, written as CIF:
```
data_LaCo3Cl
_symmetry_space_group_name_H-M 'P m -3 m'
_symmetry_Int_Tables_number 221
_symmetry_space_group_name_Hall '-P 4 2 3'
_cell_length_a 4.8031
_cell_length_b 4.8031
_cell_length_c 4.8031
_cell_angle_alpha 90.00
_cell_angle_beta 90.00
_cell_angle_gamma 90.00
loop_
_atom_site_label
_atom_site_type_symbol
_atom_site_fract_x
_atom_site_fract_y
_atom_site_fract_z
La1 La 0.0000 0.0000 0.0000
Co1 Co 0.0000 0.0000 0.5000
Cl1 Cl 0.5000 0.5000 0.5000
```



Density functional theory data (PBE) for a relaxed structure of Li2TeH6.

The calculation puts the energy at -2.5513 eV/atom.

Cell and atoms, written as CIF:
```
data_Li2TeH6
_symmetry_space_group_name_H-M 'F m -3 m'
_symmetry_Int_Tables_number 225
_symmetry_space_group_name_Hall '-F 4 2 3'
_cell_length_a 7.4632
_cell_length_b 7.4632
_cell_length_c 7.4632
_cell_angle_alpha 90.00
_cell_angle_beta 90.00
_cell_angle_gamma 90.00
loop_
_atom_site_label
_atom_site_type_symbol
_atom_site_fract_x
_atom_site_fract_y
_atom_site_fract_z
Li1 Li 0.2500 0.2500 0.2500
Te1 Te 0.0000 0.0000 0.0000
H1 H 0.0000 0.0000 0.2662
```



Density functional theory data (PBE) for a relaxed structure of NaTlTe3As.

The calculation puts the energy at -3.1737 eV/atom. The uncorrected formation energy is -0.21 eV/atom.

Cell and atoms, written as CIF:
```
data_NaTlTe3As
_symmetry_space_group_name_H-M 'P 1 21/m 1'
_symmetry_Int_Tables_number 11
_symmetry_space_group_name_Hall '-P 2yb'
_cell_length_a 8.3397
_cell_length_b 4.4621
_cell_length_c 11.0622
_cell_angle_alpha 90.00
_cell_angle_beta 104.92
_cell_angle_gamma 90.00
loop_
_atom_site_label
_atom_site_type_symbol
_atom_site_fract_x
_atom_site_fract_y
_atom_site_fract_z
Na1 Na 0.2124 0.2500 0.2180
Tl1 Tl 0.1997 0.7500 0.5666
Te1 Te 0.0264 0.2500 0.7109
Te2 Te 0.2891 0.7500 0.9916
Te3 Te 0.4975 0.7500 0.3476
As1 As 0.3808 0.2500 0.8575
```



> Which of these has the lowest energy?

LaCo3Cl